Cu8TeS5 | PBE-GGA | relaxed

Geometry as CIF:
```
data_Cu8TeS5
_space_group_name_H-M_alt 'F -4 3 m'
_space_group_IT_number 216
_space_group_name_Hall 'F -4 2 3'
_cell_length_a 9.943
_cell_length_b 9.943
_cell_length_c 9.943
_cell_angle_alpha 90.00
_cell_angle_beta 90.00
_cell_angle_gamma 90.00
loop_
_atom_site_label
_atom_site_fract_x
_atom_site_fract_y
_atom_site_fract_z
Cu1 0.102 0.102 0.102
Cu2 0.131 0.131 0.631
Te1 0.250 0.250 0.250
S1 0.000 0.000 0.500
S2 0.130 0.130 0.870
```

Computed properties:
* V: 17.55 Å³ per atom
* VASP energy: -4.1362 eV per atom
* formation energy (no corrections): -0.10 eV per atom
* density of states at the Fermi level: 26.5 states/eV/cell